CrSn2Ru | PBE | relaxed

a = 6.5770 Å, b = 6.5770 Å, c = 6.5770 Å
α = 90.00°, β = 90.00°, γ = 90.00°
Space group Fm-3m (No. 225)
One atom of each set of equivalent atoms:
Cr 0.0000 0.0000 0.0000 x4
Sn 0.2500 0.2500 0.2500 x8
Ru 0.0000 0.0000 0.5000 x4

- Size of the total moment: 3.347 μB per formula unit
- Density of states at the Fermi level: 21.9 states/eV per cell
- Energy above the most stable polymorph in this dataset: 0.0 kJ/mol of atoms
- VASP energy: -6.562 eV per atom
- Formation enthalpy at 0 K: 0.164 eV per atom